Entry 1:
Material: DyEr2Tl3Te6
Method: DFT, PBE
State: relaxed

ρ: 7.45 g cm⁻³
Energy relative to the elements, uncorrected: -1.044 eV per atom

Unit cell a=7.676 b=7.676 c=8.580 alpha=98.58 beta=98.58 gamma=120.00
Positions (direct):
Dy1 0.000 0.000 0.000
Er1 0.333 0.667 0.000
Er2 0.667 0.333 0.000
Tl1 0.166 0.834 0.500
Tl2 0.500 0.500 0.500
Tl3 0.834 0.166 0.500
Te1 0.071 0.406 0.212
Te2 0.265 0.265 0.788
Te3 0.406 0.071 0.212
Te4 0.594 0.929 0.788
Te5 0.735 0.735 0.212
Te6 0.929 0.594 0.788

=====

Entry 2:
Material: Dy3ErTl3Te8
Method: DFT, PBE
State: relaxed

Density of states at the Fermi level: 0.383 states/eV/atom
ρ: 6.96 g cm⁻³
Energy relative to the elements, uncorrected: -1.050 eV per atom

Unit cell a=8.778 b=8.778 c=9.640 alpha=117.15 beta=117.15 gamma=59.91
Positions (direct):
Dy1 0.000 0.000 0.000
Dy2 0.000 0.500 0.000
Dy3 0.500 0.000 0.000
Er1 0.500 0.500 0.000
Tl1 0.000 0.500 0.500
Tl2 0.500 0.000 0.500
Tl3 0.500 0.500 0.500
Te1 0.238 0.738 0.214
Te2 0.239 0.239 0.216
Te3 0.262 0.262 0.786
Te4 0.262 0.762 0.786
Te5 0.738 0.238 0.214
Te6 0.738 0.738 0.214
Te7 0.761 0.761 0.784
Te8 0.762 0.262 0.786

=====

Entry 3:
Material: DyEr3Tl3Te8
Method: DFT, PBE
State: relaxed

Density of states at the Fermi level: 0.373 states/eV/atom
ρ: 7.05 g cm⁻³
Energy relative to the elements, uncorrected: -1.043 eV per atom

Unit cell a=8.744 b=8.744 c=9.625 alpha=117.09 beta=117.09 gamma=59.91
Positions (direct):
Dy1 0.000 0.000 0.000
Er1 0.000 0.500 0.000
Er2 0.500 0.000 0.000
Er3 0.500 0.500 0.000
Tl1 0.000 0.000 0.500
Tl2 0.000 0.500 0.500
Tl3 0.500 0.000 0.500
Te1 0.240 0.240 0.214
Te2 0.240 0.734 0.214
Te3 0.262 0.262 0.786
Te4 0.266 0.760 0.786
Te5 0.734 0.240 0.214
Te6 0.738 0.738 0.214
Te7 0.760 0.266 0.786
Te8 0.760 0.760 0.786

=====

Entry 4:
Material: Dy3ErTm2Te6
Method: DFT, PBE
State: relaxed

Density of states at the Fermi level: 0.511 states/eV/atom
ρ: 8.48 g cm⁻³
Energy relative to the elements, uncorrected: -1.231 eV per atom

Unit cell a=9.701 b=9.701 c=8.706 alpha=103.65 beta=103.65 gamma=25.65
Positions (direct):
Dy1 0.000 0.000 0.000
Dy2 0.334 0.334 0.667
Dy3 0.666 0.666 0.333
Er1 0.000 0.000 0.500
Tm1 0.334 0.334 0.168
Tm2 0.666 0.666 0.832
Te1 0.166 0.166 0.586
Te2 0.168 0.168 0.080
Te3 0.499 0.499 0.251
Te4 0.501 0.501 0.749
Te5 0.832 0.832 0.920
Te6 0.834 0.834 0.414